# 1
An optimized crystal structure of Ca2CoSi, computed with GGA-PBE.

Computed properties:
- uncorrected formation energy (eV/f.u.) = -0.64
- calculated total energy (eV/f.u.) = -17.172
- crystal system = orthorhombic
- symmetry = Imm2 (44)

```
Ca2CoSi
1.0
-1.884 2.450 4.770
1.884 -2.450 4.770
1.884 2.450 -4.770
Ca Co Si
2 1 1
Direct
0.000 0.000 0.000 Ca
0.705 0.205 0.500 Ca
0.400 0.400 0.000 Co
0.284 0.784 0.500 Si
```

***

# 2
An optimized crystal structure of AcMgCu2Si2, computed with GGA-PBE.

Computed properties:
- uncorrected formation energy (eV/f.u.) = -2.46
- calculated total energy (eV/f.u.) = -27.205
- crystal system = trigonal
- symmetry = P-3m1 (164)

```
AcMgCu2Si2
1.0
4.200 0.000 0.000
-2.100 3.637 0.000
0.000 0.000 7.403
Ac Mg Cu Si
1 1 2 2
Direct
0.000 0.000 0.000 Ac
0.000 0.000 0.500 Mg
0.333 0.667 0.669 Cu
0.667 0.333 0.331 Cu
0.333 0.667 0.290 Si
0.667 0.333 0.710 Si
```

***

Repeat the first record exactly.
An optimized crystal structure of Ca2CoSi, computed with GGA-PBE.

Computed properties:
- uncorrected formation energy (eV/f.u.) = -0.64
- calculated total energy (eV/f.u.) = -17.172
- crystal system = orthorhombic
- symmetry = Imm2 (44)

```
Ca2CoSi
1.0
-1.884 2.450 4.770
1.884 -2.450 4.770
1.884 2.450 -4.770
Ca Co Si
2 1 1
Direct
0.000 0.000 0.000 Ca
0.705 0.205 0.500 Ca
0.400 0.400 0.000 Co
0.284 0.784 0.500 Si
```